CoH20S2N2O14 | PBE with a Hubbard U | optimized geometry

The value obtained for the total energy is -207.00 eV/f.u. The calculation puts the mass density at 1.87 g cm⁻³. The value obtained for the size of the total moment is 3.00 μB/f.u. For the density of states at the Fermi level, the calculation gives 0.00 states/eV/cell. Its crystal system is monoclinic.

Unit cell a=6.381 b=12.502 c=9.224 alpha=90.00 beta=107.26 gamma=90.00
Space group P2_1/c (No. 14)
Symmetry-distinct sites (fractional):
Co 0.000 0.000 0.000 x2
H 0.008 0.190 0.140 x4
H 0.059 0.100 0.267 x4
H 0.099 0.618 0.756 x4
H 0.195 0.671 0.069 x4
H 0.319 0.147 0.017 x4
H 0.325 0.587 0.724 x4
H 0.333 0.060 0.897 x4
H 0.376 0.578 0.164 x4
H 0.397 0.706 0.229 x4
H 0.455 0.679 0.066 x4
S 0.262 0.132 0.586 x4
N 0.356 0.659 0.133 x4
O 0.030 0.615 0.339 x4
O 0.057 0.174 0.613 x4
O 0.169 0.607 0.675 x4
O 0.211 0.069 0.445 x4
O 0.295 0.070 0.992 x4
O 0.384 0.062 0.717 x4
O 0.410 0.224 0.577 x4